[1]
# Hg3SbH | Alexandria via LeMat-Bulk | PBE | optimized geometry
data_Hg3SbH
_cell_length_a 7.347
_cell_length_b 8.344
_cell_length_c 10.484
_cell_angle_alpha 72.46
_cell_angle_beta 75.71
_cell_angle_gamma 70.60
_space_group_name_H-M_alt 'P -1'
_space_group_IT_number 2
loop_
_space_group_symop_operation_xyz
'x,y,z'
'-x,-y,-z'
loop_
_atom_site_label
_atom_site_fract_x
_atom_site_fract_y
_atom_site_fract_z
_atom_site_occupancy
Hg1 0.010 0.040 0.240 1
Hg2 0.121 0.341 0.474 1
Hg3 0.187 0.628 0.182 1
Hg4 0.350 0.150 0.959 1
Hg5 0.431 0.371 0.617 1
Hg6 0.450 0.801 0.810 1
Sb1 0.099 0.485 0.863 1
Sb2 0.360 0.015 0.417 1
H1 0.342 0.681 0.955 1
H2 0.366 0.670 0.236 1
# DOS at the Fermi energy (states/eV/f.u.): 0.5
# Energy above the most stable polymorph in this dataset (meV/atom): 0

---

[2]
# KCaAs2 | Alexandria via LeMat-Bulk | PBE | optimized geometry
data_KCaAs2
_cell_length_a 6.650
_cell_length_b 8.863
_cell_length_c 3.378
_cell_angle_alpha 90.00
_cell_angle_beta 90.26
_cell_angle_gamma 90.00
_space_group_name_H-M_alt 'C 1 2/m 1'
_space_group_IT_number 12
loop_
_space_group_symop_operation_xyz
'x,y,z'
'-x,-y,-z'
'-x,y,-z'
'x,-y,z'
'x+1/2,y+1/2,z'
'-x+1/2,-y+1/2,-z'
'-x+1/2,y+1/2,-z'
'x+1/2,-y+1/2,z'
loop_
_atom_site_label
_atom_site_fract_x
_atom_site_fract_y
_atom_site_fract_z
_atom_site_occupancy
K1 0.000 0.000 0.000 1
Ca1 0.000 0.500 0.000 1
As1 0.250 0.250 0.500 1
# DOS at the Fermi energy (states/eV/f.u.): 1.4
# Energy above the most stable polymorph in this dataset (meV/atom): 276

---

What did the first record say?
# Hg3SbH | Alexandria via LeMat-Bulk | PBE | optimized geometry
data_Hg3SbH
_cell_length_a 7.347
_cell_length_b 8.344
_cell_length_c 10.484
_cell_angle_alpha 72.46
_cell_angle_beta 75.71
_cell_angle_gamma 70.60
_space_group_name_H-M_alt 'P -1'
_space_group_IT_number 2
loop_
_space_group_symop_operation_xyz
'x,y,z'
'-x,-y,-z'
loop_
_atom_site_label
_atom_site_fract_x
_atom_site_fract_y
_atom_site_fract_z
_atom_site_occupancy
Hg1 0.010 0.040 0.240 1
Hg2 0.121 0.341 0.474 1
Hg3 0.187 0.628 0.182 1
Hg4 0.350 0.150 0.959 1
Hg5 0.431 0.371 0.617 1
Hg6 0.450 0.801 0.810 1
Sb1 0.099 0.485 0.863 1
Sb2 0.360 0.015 0.417 1
H1 0.342 0.681 0.955 1
H2 0.366 0.670 0.236 1
# DOS at the Fermi energy (states/eV/f.u.): 0.5
# Energy above the most stable polymorph in this dataset (meV/atom): 0